Compound: Li2Mn2CrO6
Source: the Alexandria database
Functional: GGA-PBEsol
Structure: optimized geometry

- Space-group type: Aea2
- Fermi-level density of states: 0.011 states/eV/atom
- Total DFT energy (no corrections): -170.5 eV per cell
- Energy above the most stable polymorph in this dataset: 0.0000 eV/atom
- ΔE_f (raw): -42.1 kcal/mol of atoms
- Crystal system: orthorhombic
- Magnetization: 10.011 μB per formula unit

Cell and atoms, written as POSCAR:
```
Li2Mn2CrO6
1.0
5.000 0.054 0.000
-2.333 4.422 0.000
0.000 0.000 10.062
Li Mn Cr O
4 4 2 12
Direct
0.010 0.377 0.777
0.623 0.990 0.223
0.510 0.877 0.723
0.123 0.490 0.277
0.820 0.180 0.500
0.651 0.349 0.000
0.320 0.680 0.000
0.151 0.849 0.500
0.987 0.013 0.000
0.487 0.513 0.500
0.937 0.309 0.112
0.983 0.666 0.905
0.834 0.517 0.405
0.483 0.166 0.595
0.816 0.850 0.596
0.650 0.684 0.096
0.316 0.350 0.904
0.691 0.063 0.888
0.150 0.184 0.404
0.437 0.809 0.388
0.191 0.563 0.612
0.334 0.017 0.095
```

Compound: Li4Mn3Cr2O10
Source: the Alexandria database
Functional: GGA-PBEsol
Structure: optimized geometry

- Space-group type: P1
- Fermi-level density of states: 0.303 states/eV/atom
- Total DFT energy (no corrections): -145.6 eV per cell
- ΔE_f (raw): -43.0 kcal/mol of atoms
- Crystal system: triclinic
- Magnetization: 15.014 μB per formula unit

Cell and atoms, written as POSCAR:
```
Li4Mn3Cr2O10
1.0
-2.976 3.120 2.439
-3.051 -1.164 -3.776
0.495 -5.917 4.877
Li Mn Cr O
4 3 2 10
Direct
0.225 0.939 0.437
0.504 0.491 0.511
0.603 0.703 0.219
0.794 0.092 0.594
0.997 0.497 0.994
0.685 0.899 0.895
0.310 0.101 0.100
0.105 0.699 0.691
0.901 0.304 0.306
0.038 0.086 0.863
0.351 0.722 0.946
0.124 0.316 0.539
0.221 0.472 0.226
0.459 0.882 0.667
0.542 0.106 0.328
0.786 0.535 0.768
0.869 0.690 0.455
0.649 0.285 0.058
0.949 0.908 0.135
```

Compound: Li4Ti3Mn3Cr2O16
Source: the Alexandria database
Functional: GGA-PBEsol
Structure: optimized geometry

- Space-group type: Cm
- Fermi-level density of states: 0.226 states/eV/atom
- Total DFT energy (no corrections): -229.8 eV per cell
- ΔE_f (raw): -52.1 kcal/mol of atoms
- Crystal system: monoclinic
- Magnetization: 12.957 μB per formula unit

Cell and atoms, written as POSCAR:
```
Li4Ti3Mn3Cr2O16
1.0
-0.587 3.786 4.220
-5.216 1.747 1.492
-0.611 -7.011 6.277
Li Ti Mn Cr O
4 3 3 2 16
Direct
0.669 0.669 0.893
0.992 0.992 0.995
0.995 0.995 0.497
0.336 0.336 0.399
0.833 0.338 0.214
0.338 0.833 0.214
0.169 0.169 0.713
0.828 0.828 0.213
0.659 0.170 0.713
0.170 0.659 0.713
0.667 0.667 0.487
0.335 0.335 0.982
0.834 0.329 0.600
0.521 0.521 0.341
0.666 0.666 0.100
0.996 0.996 0.312
0.994 0.994 0.810
0.329 0.834 0.600
0.963 0.524 0.342
0.524 0.963 0.342
0.166 0.166 0.099
0.835 0.835 0.603
0.483 0.040 0.841
0.040 0.483 0.841
0.337 0.337 0.604
0.668 0.163 0.102
0.482 0.482 0.835
0.163 0.668 0.102
```

Compound: Li4Ti2Mn3Cr3O16
Source: the Alexandria database
Functional: GGA-PBEsol
Structure: optimized geometry

- Space-group type: Cm
- Fermi-level density of states: 0.153 states/eV/atom
- Total DFT energy (no corrections): -229.2 eV per cell
- ΔE_f (raw): -50.0 kcal/mol of atoms
- Crystal system: monoclinic
- Magnetization: 16.993 μB per formula unit

Cell and atoms, written as POSCAR:
```
Li4Ti2Mn3Cr3O16
1.0
5.746 0.037 0.001
2.860 4.984 -0.041
0.018 0.091 9.319
Li Ti Mn Cr O
4 2 3 3 16
Direct
0.669 0.669 0.896
0.998 0.999 0.996
0.997 0.997 0.497
0.336 0.336 0.396
0.663 0.663 0.492
0.332 0.332 0.994
0.830 0.830 0.216
0.170 0.659 0.715
0.659 0.170 0.715
0.339 0.832 0.215
0.831 0.339 0.215
0.169 0.169 0.715
0.330 0.830 0.598
0.521 0.521 0.341
0.671 0.671 0.107
0.997 0.997 0.310
0.998 0.997 0.809
0.830 0.330 0.598
0.524 0.963 0.338
0.963 0.524 0.338
0.167 0.167 0.095
0.834 0.834 0.601
0.040 0.485 0.836
0.486 0.040 0.836
0.336 0.335 0.607
0.162 0.668 0.099
0.482 0.482 0.836
0.667 0.163 0.099
```